DFT (PBE-GGA) results for ZnSiSe2N after structural relaxation.

a b c (Å): 5.1666 5.1666 3.2645
angles (deg): 90.00 90.00 90.00
Closest atoms and distances in Å follow each position.
Fractional positions:
Si1 0.0000 0.0000 0.0000  2 N 1.63
N1 0.0000 0.0000 0.5000  2 Si 1.63
Se1 0.5000 0.0000 0.0000  2 Si 2.58
Zn1 0.5000 0.5000 0.5000  8 Se 3.06, 2 Zn 3.26
Se2 0.0000 0.5000 0.0000  2 Si 2.58

Output
The total moment comes out at 0.00 μB/f.u. As for the density of states at the Fermi level: 0.421 states/eV per atom. The calculated total energy comes out at -4.19 eV per atom. The energy relative to the elements, uncorrected comes out at 4.73 kcal/mol of atoms. Its space group is P4/mmm (123). As for the crystal system: tetragonal. As for the relative energy among the computed polymorphs: 0 meV/atom. For the volume, the calculation gives 87.14 Å³/f.u. The calculation puts the mass density at 5.1 g/cm3.